VASP calculation (PBE) on a relaxed structure of NaNdTe4Pb2.

Properties
**Formation energy without anion corrections**: -0.83 eV/atom
**Calculated total energy**: -0.150 Ha/atom
**Crystal system**: monoclinic

```
data_NaNdTe4Pb2
_cell_length_a 7.9170
_cell_length_b 4.5896
_cell_length_c 7.9991
_cell_angle_alpha 90.00
_cell_angle_beta 108.82
_cell_angle_gamma 90.00
_symmetry_space_group_name_H-M 'P 1 2/m 1'
_symmetry_Int_Tables_number 10
_symmetry_space_group_name_Hall '-P 2y'
loop_
_atom_site_label
_atom_site_type_symbol
_atom_site_fract_x
_atom_site_fract_y
_atom_site_fract_z
_atom_site_occupancy
Na1 Na 0.0000 0.0000 0.0000 1
Nd1 Nd 0.5000 0.5000 0.0000 1
Te1 Te 0.2543 0.5000 0.2442 1
Te2 Te 0.2562 0.0000 0.7581 1
Pb1 Pb 0.0000 0.5000 0.5000 1
Pb2 Pb 0.5000 0.0000 0.5000 1
```


VASP calculation (PBE) on a relaxed structure of Dy3Zn3Hg2.

Properties
**Calculated total energy**: -0.094 Ha/atom
**Crystal system**: hexagonal
**Formation energy**: -285 meV/atom

```
data_Dy3Zn3Hg2
_cell_length_a 7.0301
_cell_length_b 7.0301
_cell_length_c 4.3680
_cell_angle_alpha 90.00
_cell_angle_beta 90.00
_cell_angle_gamma 120.00
_symmetry_space_group_name_H-M 'P -6 2 m'
_symmetry_Int_Tables_number 189
_symmetry_space_group_name_Hall 'P -6 -2'
loop_
_atom_site_label
_atom_site_type_symbol
_atom_site_fract_x
_atom_site_fract_y
_atom_site_fract_z
_atom_site_occupancy
Dy1 Dy 0.0000 0.3779 0.0000 1
Zn1 Zn 0.0000 0.7818 0.5000 1
Hg1 Hg 0.3333 0.6667 0.5000 1
```


VASP calculation (PBE) on a relaxed structure of MgRu2F.

Properties
**Distance to the lowest polymorph of the same formula**: 0 meV per atom
**Formation energy without anion corrections**: 0.07 eV/atom
**Calculated total energy**: -0.200 Ha/atom
**Crystal system**: tetragonal

```
data_MgRu2F
_cell_length_a 7.7607
_cell_length_b 7.7607
_cell_length_c 4.2002
_cell_angle_alpha 90.00
_cell_angle_beta 90.00
_cell_angle_gamma 90.00
_symmetry_space_group_name_H-M 'I -4 2 d'
_symmetry_Int_Tables_number 122
_symmetry_space_group_name_Hall 'I -4 2bw'
loop_
_atom_site_label
_atom_site_type_symbol
_atom_site_fract_x
_atom_site_fract_y
_atom_site_fract_z
_atom_site_occupancy
Mg1 Mg 0.0000 0.0000 0.0000 1
Ru1 Ru 0.1858 0.2500 0.6250 1
F1 F 0.0000 0.0000 0.5000 1
```


VASP calculation (PBE) on a relaxed structure of Pa2IrSe6.

Properties
**Formation energy without anion corrections**: -1.05 eV/atom
**Calculated total energy**: -0.238 Ha/atom
**Crystal system**: monoclinic

```
data_Pa2IrSe6
_cell_length_a 6.3283
_cell_length_b 7.3087
_cell_length_c 10.7744
_cell_angle_alpha 90.00
_cell_angle_beta 123.10
_cell_angle_gamma 90.00
_symmetry_space_group_name_H-M 'P 1 21/c 1'
_symmetry_Int_Tables_number 14
_symmetry_space_group_name_Hall '-P 2ybc'
loop_
_atom_site_label
_atom_site_type_symbol
_atom_site_fract_x
_atom_site_fract_y
_atom_site_fract_z
_atom_site_occupancy
Pa1 Pa 0.1915 0.1322 0.2522 1
Ir1 Ir 0.0000 0.0000 0.5000 1
Se1 Se 0.1014 0.1819 0.9488 1
Se2 Se 0.2869 0.6775 0.9440 1
Se3 Se 0.3982 0.0310 0.7549 1
```


VASP calculation (PBE) on a relaxed structure of Rb3BaTa.

Properties
**Distance to the lowest polymorph of the same formula**: 0 meV per atom
**Calculated total energy**: -0.073 Ha/atom
**Crystal system**: cubic
**Formation energy**: 1340 meV/atom

```
data_Rb3BaTa
_cell_length_a 7.0975
_cell_length_b 7.0975
_cell_length_c 7.0975
_cell_angle_alpha 90.00
_cell_angle_beta 90.00
_cell_angle_gamma 90.00
_symmetry_space_group_name_H-M 'P m -3 m'
_symmetry_Int_Tables_number 221
_symmetry_space_group_name_Hall '-P 4 2 3'
loop_
_atom_site_label
_atom_site_type_symbol
_atom_site_fract_x
_atom_site_fract_y
_atom_site_fract_z
_atom_site_occupancy
Rb1 Rb 0.0000 0.0000 0.5000 1
Ba1 Ba 0.5000 0.5000 0.5000 1
Ta1 Ta 0.0000 0.0000 0.0000 1
```


VASP calculation (PBE) on a relaxed structure of Pr4ZnCoI2.

Properties
**Formation energy without anion corrections**: -0.56 eV/atom
**Calculated total energy**: -0.161 Ha/atom
**Crystal system**: monoclinic

```
data_Pr4ZnCoI2
_cell_length_a 7.5303
_cell_length_b 4.1348
_cell_length_c 8.4825
_cell_angle_alpha 90.00
_cell_angle_beta 106.11
_cell_angle_gamma 90.00
_symmetry_space_group_name_H-M 'P 1 2/m 1'
_symmetry_Int_Tables_number 10
_symmetry_space_group_name_Hall '-P 2y'
loop_
_atom_site_label
_atom_site_type_symbol
_atom_site_fract_x
_atom_site_fract_y
_atom_site_fract_z
_atom_site_occupancy
Pr1 Pr 0.2203 0.0000 0.1869 1
Pr2 Pr 0.2276 0.5000 0.8064 1
Zn1 Zn 0.5000 0.0000 0.0000 1
Co1 Co 0.0000 0.5000 0.0000 1
I1 I 0.0000 0.0000 0.5000 1
I2 I 0.5000 0.5000 0.5000 1
```


Question: Which value of calculated total energy does entry 1 give?
Answer: -0.150 Ha/atom